Record 1
The following is a DFT calculation (PBE-GGA) of a relaxed structure of NpBiO.

```
data_NpBiO
_chemical_formula_sum 'Np4 Bi4 O4'
_cell_length_a 4.682
_cell_length_b 4.682
_cell_length_c 12.110
_cell_angle_alpha 90.00
_cell_angle_beta 92.29
_cell_angle_gamma 90.00
_space_group_name_H-M_alt 'C 1 2/m 1'
_space_group_IT_number 12
loop_
_space_group_symop_operation_xyz
'x,y,z'
'-x,-y,-z'
'-x,y,-z'
'x,-y,z'
'x+1/2,y+1/2,z'
'-x+1/2,-y+1/2,-z'
'-x+1/2,y+1/2,-z'
'x+1/2,-y+1/2,z'
loop_
_atom_site_label
_atom_site_type_symbol
_atom_site_fract_x
_atom_site_fract_y
_atom_site_fract_z
Np1 Np 0.237 0.000 0.378
Bi1 Bi 0.202 0.500 0.148
O1 O 0.243 0.500 0.429
```

Summary:
- ΔE to the lowest computed polymorph: 13 meV per atom



Record 2
The following is a DFT calculation (PBE-GGA) of a relaxed structure of Np3BiO4.

```
data_Np3BiO4
_chemical_formula_sum 'Np3 Bi1 O4'
_cell_length_a 3.900
_cell_length_b 3.900
_cell_length_c 9.241
_cell_angle_alpha 90.00
_cell_angle_beta 90.00
_cell_angle_gamma 90.00
_space_group_name_H-M_alt 'P 4/m m m'
_space_group_IT_number 123
_space_group_name_Hall '-P 4 2'
loop_
_atom_site_label
_atom_site_type_symbol
_atom_site_fract_x
_atom_site_fract_y
_atom_site_fract_z
Np1 Np 0.000 0.000 0.000
Np2 Np 0.500 0.500 0.272
Bi1 Bi 0.000 0.000 0.500
O1 O 0.000 0.500 0.149
```

Summary:
- Uncorrected energy: -10.2527 eV per atom



Record 3
The following is a DFT calculation (PBE-GGA) of a relaxed structure of Np3BiO3.

```
data_Np3BiO3
_chemical_formula_sum 'Np6 Bi2 O6'
_cell_length_a 8.101
_cell_length_b 3.941
_cell_length_c 9.312
_cell_angle_alpha 90.00
_cell_angle_beta 111.70
_cell_angle_gamma 90.00
_space_group_name_H-M_alt 'P 1 21/m 1'
_space_group_IT_number 11
loop_
_space_group_symop_operation_xyz
'x,y,z'
'-x,-y,-z'
'-x,y+1/2,-z'
'x,-y+1/2,z'
loop_
_atom_site_label
_atom_site_type_symbol
_atom_site_fract_x
_atom_site_fract_y
_atom_site_fract_z
Np1 Np 0.055 0.250 0.180
Np2 Np 0.207 0.750 0.564
Np3 Np 0.347 0.250 0.949
Bi1 Bi 0.418 0.750 0.278
O1 O 0.071 0.250 0.933
O2 O 0.089 0.250 0.444
O3 O 0.237 0.750 0.822
```

Summary:
- Uncorrected energy: -10.1914 eV per atom



Record 4
The following is a DFT calculation (PBE-GGA) of a relaxed structure of Np3BiO2.

```
data_Np3BiO2
_chemical_formula_sum 'Np12 Bi4 O8'
_cell_length_a 8.988
_cell_length_b 10.443
_cell_length_c 5.629
_cell_angle_alpha 90.00
_cell_angle_beta 90.00
_cell_angle_gamma 90.00
_space_group_name_H-M_alt 'C m c m'
_space_group_IT_number 63
_space_group_name_Hall '-C 2c 2'
loop_
_atom_site_label
_atom_site_type_symbol
_atom_site_fract_x
_atom_site_fract_y
_atom_site_fract_z
Np1 Np 0.000 0.110 0.250
Np2 Np 0.200 0.382 0.250
Bi1 Bi 0.000 0.322 0.750
O1 O 0.159 0.000 0.000
```

Summary:
- Uncorrected energy: -10.2558 eV per atom



Record 5
The following is a DFT calculation (PBE-GGA) of a relaxed structure of NpBi2O6.

```
data_NpBi2O6
_chemical_formula_sum 'Np2 Bi4 O12'
_cell_length_a 5.978
_cell_length_b 5.242
_cell_length_c 11.681
_cell_angle_alpha 90.00
_cell_angle_beta 120.73
_cell_angle_gamma 90.00
_space_group_name_H-M_alt 'P 1 21/c 1'
_space_group_IT_number 14
loop_
_space_group_symop_operation_xyz
'x,y,z'
'-x,-y,-z'
'-x,y+1/2,-z+1/2'
'x,-y+1/2,z+1/2'
loop_
_atom_site_label
_atom_site_type_symbol
_atom_site_fract_x
_atom_site_fract_y
_atom_site_fract_z
Np1 Np 0.000 0.000 0.000
Bi1 Bi 0.299 0.001 0.799
O1 O 0.000 0.222 0.158
O2 O 0.276 0.193 0.001
O3 O 0.312 0.723 0.658
```

Summary:
- Uncorrected energy: -7.5346 eV per atom



Record 6
The following is a DFT calculation (PBE-GGA) of a relaxed structure of NpBi6O12.

```
data_NpBi6O12
_chemical_formula_sum 'Np3 Bi18 O36'
_cell_length_a 10.5561
_cell_length_b 10.5561
_cell_length_c 9.6454
_cell_angle_alpha 90.00
_cell_angle_beta 90.00
_cell_angle_gamma 120.00
_space_group_name_H-M_alt 'R -3'
_space_group_IT_number 148
_space_group_name_Hall '-R 3'
loop_
_atom_site_label
_atom_site_type_symbol
_atom_site_fract_x
_atom_site_fract_y
_atom_site_fract_z
Np1 Np 0.0000 0.0000 0.0000
Bi1 Bi 0.0416 0.2403 0.6525
O1 O 0.0330 0.1781 0.8799
O2 O 0.0368 0.2045 0.3899
```

Summary:
- Uncorrected energy: -6.6336 eV per atom



no.,total magnetic moment (μB/f.u.),ρ (Mg/m³)
1,3.95,11.57
2,10.58,11.63
3,4.00,11.64
4,14.00,11.97
5,1.00,7.93
6,1.00,9.01